Crystalline CaZnPb2 at its relaxed geometry. Source: Alexandria, functional PBE.

a b c (Å): 3.6125 4.8252 6.4970
angles (deg): 90.00 98.17 90.00
Last column: nearest neighbours and their distance in Å.
Space group P2/m (No. 10)
Inequivalent atoms, fractional coordinates:
Ca: 0.0000 0.0000 0.0000 x1  8 Pb 3.34-3.56, 2 Zn 3.49, 2 Ca 3.61
Zn: 0.5000 0.0000 0.5000 x1  4 Pb 2.94
Pb: 0.3762 0.5000 0.7403 x2  2 Zn 2.94

Results
For the energy of formation, the calculation gives -0.141 eV/atom. The calculation puts the density of states at the Fermi level at 0.48 states/eV per atom. As for the crystal system: monoclinic.